MnAlTe2 PBE-GGA relaxed; space group = Cmmm (65); crystal system = orthorhombic; ΔE_f (raw) = 0.642 eV per formula unit; E_tot = -4.6383 eV/atom
1.0
4.470 -0.390 0.000
-2.475 3.742 0.000
0.000 0.000 7.919
Al Te Mn
1 2 1
Direct
0.500 0.500 0.250
0.000 0.000 0.508
0.000 0.000 0.992
0.500 0.500 0.750